Compound: MoSO3
Source: the Alexandria database
Functional: GGA+U
Structure: optimized geometry

Symmetry: Pm-3m, No. 221
Uncorrected energy in eV/cell: -25.711
Magnetization in μB per atom: 0.791

Lattice parameters (Å, degrees): 3.795 3.795 3.795 90.00 90.00 90.00
Positions (direct):
Mo 0.000 0.000 0.000
S 0.500 0.500 0.500
O 0.000 0.500 0.500
O 0.500 0.000 0.500
O 0.500 0.500 0.000